! KNbP2S (PBE, optimized geometry); values from VASP
&SYSTEM
  ibrav = 0, nat = 5, ntyp = 4
/
ATOMIC_SPECIES
K 39.10 K.upf
P 30.97 P.upf
S 32.06 S.upf
Nb 92.91 Nb.upf
CELL_PARAMETERS angstrom
-1.650 0.117 -4.661
-0.972 -4.845 0.222
-4.700 1.020 1.689
ATOMIC_POSITIONS angstrom
K 0.000 0.000 0.000
P -0.825 0.059 -2.331
P -0.486 -2.422 0.111
S -2.350 0.510 0.845
Nb -3.661 -1.854 -1.375
! - formation energy without anion corrections (eV/f.u.) = 9.85
! - E_tot (eV/atom) = -3.2532
! - offset from the most stable computed form (eV/atom) = 2.270

***

! KNbP2Se8 (PBE, optimized geometry); values from VASP
&SYSTEM
  ibrav = 0, nat = 12, ntyp = 4
/
ATOMIC_SPECIES
Se 78.96 Se.upf
Nb 92.91 Nb.upf
K 39.10 K.upf
P 30.97 P.upf
CELL_PARAMETERS angstrom
6.385 0.000 0.000
-3.192 5.529 0.000
0.000 0.000 9.858
ATOMIC_POSITIONS angstrom
Se 2.145 0.082 6.378
Se 1.002 1.899 3.480
Se 1.047 5.447 3.480
Se 0.000 3.686 9.200
Se 2.191 3.630 6.378
Se -2.049 3.712 3.480
Se 3.192 1.843 0.658
Se 5.241 1.817 6.378
Nb 0.000 0.000 4.929
K 0.000 0.000 0.000
P 0.000 3.686 7.055
P 3.192 1.843 2.803
! - formation energy without anion corrections (eV/f.u.) = -4.08
! - E_tot (eV/atom) = -4.4950

***

! K2PaNb2Se6 (PBE, optimized geometry); values from VASP
&SYSTEM
  ibrav = 0, nat = 11, ntyp = 4
/
ATOMIC_SPECIES
K 39.10 K.upf
Se 78.96 Se.upf
Pa 231.04 Pa.upf
Nb 92.91 Nb.upf
CELL_PARAMETERS angstrom
6.512 0.113 0.184
-3.120 5.717 0.184
-1.042 -1.791 8.022
ATOMIC_POSITIONS angstrom
K 4.806 1.106 0.184
K -1.414 4.724 0.184
Se 1.774 -0.909 5.596
Se 0.575 4.947 2.794
Se 1.687 2.899 6.058
Se 0.662 1.139 2.332
Se 4.016 2.945 2.794
Se -1.667 1.093 5.596
Pa -0.521 -0.896 4.011
Nb -0.097 2.759 4.195
Nb 2.446 1.280 4.195
! - formation energy without anion corrections (eV/f.u.) = -12.30
! - E_tot (eV/atom) = -5.9124

***

! KNb3Pb (PBE, optimized geometry); values from VASP
&SYSTEM
  ibrav = 0, nat = 5, ntyp = 3
/
ATOMIC_SPECIES
K 39.10 K.upf
Nb 92.91 Nb.upf
Pb 207.20 Pb.upf
CELL_PARAMETERS angstrom
5.337 0.000 0.000
0.000 5.337 0.000
0.000 0.000 5.337
ATOMIC_POSITIONS angstrom
K 2.669 2.669 2.669
Nb 0.000 0.000 2.669
Nb 0.000 2.669 0.000
Nb 2.669 0.000 0.000
Pb 0.000 0.000 0.000
! - energy relative to the elements (eV per atom) = 2.01
! - E_tot (eV/atom) = -4.9944
! - offset from the most stable computed form (eV/atom) = 0.000

***

! KNb3Pb (PBE, optimized geometry); values from VASP
&SYSTEM
  ibrav = 0, nat = 5, ntyp = 3
/
ATOMIC_SPECIES
Nb 92.91 Nb.upf
Pb 207.20 Pb.upf
K 39.10 K.upf
CELL_PARAMETERS angstrom
4.747 0.000 0.000
0.000 4.747 0.000
0.000 0.000 4.747
ATOMIC_POSITIONS angstrom
Nb 0.000 2.374 0.000
Nb 0.000 0.000 2.374
Nb 2.374 0.000 0.000
Pb 2.374 2.374 2.374
K 0.000 0.000 0.000
! - energy relative to the elements (eV per atom) = 2.41
! - E_tot (eV/atom) = -4.5893
! - offset from the most stable computed form (eV/atom) = 0.405

***

! K3NbPb (PBE, optimized geometry); values from VASP
&SYSTEM
  ibrav = 0, nat = 5, ntyp = 3
/
ATOMIC_SPECIES
Pb 207.20 Pb.upf
Nb 92.91 Nb.upf
K 39.10 K.upf
CELL_PARAMETERS angstrom
-0.123 -4.821 -4.622
3.673 -3.910 3.981
-5.578 -2.468 2.723
ATOMIC_POSITIONS angstrom
Pb 0.000 0.000 0.000
Nb -1.014 -5.599 1.041
K 1.836 -1.955 1.990
K -0.061 -2.411 -2.311
K -2.789 -1.234 1.361
! - energy relative to the elements (eV per atom) = 1.19
! - E_tot (eV/atom) = -2.2213
! - offset from the most stable computed form (eV/atom) = 0.000

***

! K2NbPb (PBE, optimized geometry); values from VASP
&SYSTEM
  ibrav = 0, nat = 8, ntyp = 3
/
ATOMIC_SPECIES
Pb 207.20 Pb.upf
K 39.10 K.upf
Nb 92.91 Nb.upf
CELL_PARAMETERS angstrom
9.814 0.000 0.000
0.000 9.814 0.000
4.907 4.907 2.999
ATOMIC_POSITIONS angstrom
Pb 9.814 4.907 1.500
Pb 0.000 0.000 0.000
K 12.267 12.309 2.249
K 7.360 7.319 2.249
K 7.402 2.453 0.750
K 2.412 7.360 0.750
Nb 4.907 4.907 0.000
Nb 4.907 9.814 1.500
! - energy relative to the elements (eV per atom) = 0.93
! - E_tot (eV/atom) = -3.0634

***

! KNb2PdPb (PBE, optimized geometry); values from VASP
&SYSTEM
  ibrav = 0, nat = 5, ntyp = 4
/
ATOMIC_SPECIES
Pb 207.20 Pb.upf
Nb 92.91 Nb.upf
K 39.10 K.upf
Pd 106.42 Pd.upf
CELL_PARAMETERS angstrom
5.108 0.000 0.000
0.000 5.529 0.000
0.000 0.000 5.108
ATOMIC_POSITIONS angstrom
Pb 0.000 2.764 0.000
Nb 2.554 0.000 0.000
Nb 0.000 0.000 2.554
K 2.554 2.764 2.554
Pd 0.000 0.000 0.000
! - energy relative to the elements (eV per atom) = 1.15
! - E_tot (eV/atom) = -4.8748

***

! KNbRuPb2 (PBE, optimized geometry); values from VASP
&SYSTEM
  ibrav = 0, nat = 5, ntyp = 4
/
ATOMIC_SPECIES
Ru 101.07 Ru.upf
K 39.10 K.upf
Nb 92.91 Nb.upf
Pb 207.20 Pb.upf
CELL_PARAMETERS angstrom
5.265 0.000 0.000
0.000 5.255 0.000
0.000 0.000 5.265
ATOMIC_POSITIONS angstrom
Ru 0.000 0.000 0.000
K 0.000 2.627 0.000
Nb 2.632 2.627 2.632
Pb 0.000 0.000 2.632
Pb 2.632 0.000 0.000
! - energy relative to the elements (eV per atom) = 1.42
! - E_tot (eV/atom) = -4.1542

***

! K2NbPbSe4 (PBE, optimized geometry); values from VASP
&SYSTEM
  ibrav = 0, nat = 8, ntyp = 4
/
ATOMIC_SPECIES
Se 78.96 Se.upf
K 39.10 K.upf
Pb 207.20 Pb.upf
Nb 92.91 Nb.upf
CELL_PARAMETERS angstrom
-6.945 0.231 1.735
3.224 -5.268 3.625
3.120 6.225 1.677
ATOMIC_POSITIONS angstrom
Se 2.862 0.742 5.058
Se -4.676 -1.475 3.778
Se -1.439 0.750 3.670
Se 2.052 2.357 1.569
K -0.274 -2.280 4.005
K 0.000 0.000 0.000
Pb -0.326 3.467 3.032
Nb 3.172 0.478 2.651
! - formation energy without anion corrections (eV/f.u.) = -6.49
! - E_tot (eV/atom) = -4.5500

***

! KTaNb2Pb (PBE, optimized geometry); values from VASP
&SYSTEM
  ibrav = 0, nat = 5, ntyp = 4
/
ATOMIC_SPECIES
Nb 92.91 Nb.upf
Pb 207.20 Pb.upf
Ta 180.95 Ta.upf
K 39.10 K.upf
CELL_PARAMETERS angstrom
-1.484 4.727 -0.824
-4.168 -0.647 3.796
3.068 1.598 3.641
ATOMIC_POSITIONS angstrom
Nb -0.742 2.363 -0.412
Nb 1.534 0.799 1.821
Pb -2.084 -0.323 1.898
Ta 0.000 0.000 0.000
K -1.292 2.839 3.306
! - energy relative to the elements (eV per atom) = 1.20
! - E_tot (eV/atom) = -6.1575

***

! KNbPd (PBE, optimized geometry); values from VASP
&SYSTEM
  ibrav = 0, nat = 6, ntyp = 3
/
ATOMIC_SPECIES
K 39.10 K.upf
Pd 106.42 Pd.upf
Nb 92.91 Nb.upf
CELL_PARAMETERS angstrom
4.593 0.001 0.000
0.432 5.513 0.001
0.095 1.382 6.497
ATOMIC_POSITIONS angstrom
K 1.464 4.128 0.399
K 3.656 2.769 6.099
Pd 1.384 4.188 3.676
Pd 3.736 2.709 2.822
Nb 3.673 5.438 3.291
Nb 1.448 1.458 3.207
! - energy relative to the elements (eV per atom) = 0.39
! - E_tot (eV/atom) = -5.0602